First-principles (PBE+U) data for a relaxed structure of Ac2ErNiO6, as listed in Alexandria.

For the raw total energy, the calculation gives -72.6 eV/f.u. The value obtained for the density is 9.15 Mg/m³.

The structure belongs to space group C2/m (No. 12); the cell edges are 10.173, 5.646 and 5.796 Å and the angles 90.00°, 122.26° and 90.00°. The distinct sites, in fractional coordinates, are Ac at (0.243, 0.000, 0.232), Er at (0.000, 0.000, 0.500), Ni at (0.000, 0.500, 0.000), O at (0.049, 0.262, 0.819) and O at (0.249, 0.500, 0.336).